# 1
Here is a crystal of AlTl2Tc relaxed with PBEsol from Alexandria. Energies are from meta-GGA SCAN.

Structure (extended XYZ):
```
4
Lattice="-0.6226 -2.1724 2.0805 1.4236 -3.5324 -3.2624 4.7820 0.4160 1.6364" Properties=species:S:1:pos:R:3 pbc="T T T"
Tl 3.1403 -1.3042 2.7826
Tl 1.0191 -0.4522 0.9343
Al 2.7915 -2.6444 0.2272
Tc 0.7118 -1.7662 -1.6312
```

Calculated values
crystal system	monoclinic
E_form	0.59	eV/atom
total magnetic moment	1.34	μB/f.u.
symmetry	No. 10
polymorph energy (0 for the lowest one)	0.00	eV per formula unit

=====

# 2
Here is a crystal of Al4TlTc relaxed with PBEsol from Alexandria. Energies are from meta-GGA SCAN.

Structure (extended XYZ):
```
6
Lattice="5.1667 0.0000 0.0000 2.5833 4.4745 0.0000 2.5833 1.4915 4.2186" Properties=species:S:1:pos:R:3 pbc="T T T"
Tc 7.7500 4.4745 3.1639
Al 3.8963 2.2495 1.5907
Al 6.4370 2.2495 1.5907
Al 5.1667 4.4498 1.5907
Al 5.1667 2.9830 3.6651
Tl 0.0000 0.0000 0.0000
```

Calculated values
crystal system	cubic
E_form	0.19	eV/atom
total magnetic moment	0.00	μB/f.u.
symmetry	No. 216

=====

# 3
Here is a crystal of Al2TlTc relaxed with PBEsol from Alexandria. Energies are from meta-GGA SCAN.

Structure (extended XYZ):
```
4
Lattice="-0.4680 1.0194 2.8320 -2.2829 -1.1326 1.6686 4.5294 -6.3448 4.6705" Properties=species:S:1:pos:R:3 pbc="T T T"
Tc 0.8892 -3.2290 4.5856
Tl 0.0000 0.0000 0.0000
Al 0.6745 -1.8807 2.4266
Al 1.1040 -4.5773 6.7445
```

Calculated values
crystal system	trigonal
E_form	0.03	eV/atom
total magnetic moment	0.29	μB/f.u.
symmetry	No. 166

=====

# 4
Here is a crystal of AlTl2Tc relaxed with PBEsol from Alexandria. Energies are from meta-GGA SCAN.

Structure (extended XYZ):
```
4
Lattice="4.1400 0.0000 0.0000 0.0000 4.1400 0.0000 -2.0700 -2.0700 4.3533" Properties=species:S:1:pos:R:3 pbc="T T T"
Al 0.0000 0.0000 0.0000
Tl 2.0700 0.0000 2.1767
Tl 0.0000 2.0700 2.1767
Tc 2.0700 2.0700 0.0000
```

Calculated values
crystal system	tetragonal
E_form	0.60	eV/atom
total magnetic moment	1.02	μB/f.u.
symmetry	No. 139
polymorph energy (0 for the lowest one)	0.02	eV per formula unit

=====

# 5
Here is a crystal of AlVTc relaxed with PBEsol from Alexandria. Energies are from meta-GGA SCAN.

Structure (extended XYZ):
```
3
Lattice="3.0785 0.0000 0.0000 0.0000 3.0785 0.0000 -1.5392 -1.5392 4.3569" Properties=species:S:1:pos:R:3 pbc="T T T"
Al 0.0000 0.0000 3.9407
V 0.0000 0.0000 1.1625
Tc 1.5392 1.5392 2.3913
```

Calculated values
crystal system	tetragonal
E_form	-0.53	eV/atom
total magnetic moment	0.60	μB/f.u.
symmetry	No. 107

=====

# 6
Here is a crystal of AlTcW2 relaxed with PBEsol from Alexandria. Energies are from meta-GGA SCAN.

Structure (extended XYZ):
```
4
Lattice="2.7036 0.0000 -0.0014 0.0000 4.3355 0.0000 -1.0220 0.0000 5.0926" Properties=species:S:1:pos:R:3 pbc="T T T"
Tc -0.1482 2.1678 3.7865
W 1.8803 2.1678 1.3133
W -0.9937 0.0000 5.0739
Al 0.7620 0.0000 2.5558
```

Calculated values
crystal system	monoclinic
E_form	-0.09	eV/atom
total magnetic moment	0.00	μB/f.u.
symmetry	No. 6

=====

# 7
Here is a crystal of AlTc2W relaxed with PBEsol from Alexandria. Energies are from meta-GGA SCAN.

Structure (extended XYZ):
```
4
Lattice="3.0788 0.0000 0.0000 0.0000 3.0788 0.0000 0.0000 0.0000 6.0550" Properties=species:S:1:pos:R:3 pbc="T T T"
Tc 0.0000 0.0000 1.5180
Tc 0.0000 0.0000 4.5370
W 1.5394 1.5394 0.0000
Al 1.5394 1.5394 3.0275
```

Calculated values
crystal system	tetragonal
E_form	-0.38	eV/atom
total magnetic moment	0.00	μB/f.u.
symmetry	No. 123

=====

# 8
Here is a crystal of AlTc2W relaxed with PBEsol from Alexandria. Energies are from meta-GGA SCAN.

Structure (extended XYZ):
```
4
Lattice="-1.8703 0.0327 2.4757 -1.3377 -3.8832 -0.9594 4.7984 0.2230 1.6776" Properties=species:S:1:pos:R:3 pbc="T T T"
Tc 0.0226 -0.0121 0.0173
Tc 0.6689 -0.8384 2.4610
Al 0.9431 -2.8005 0.7495
W 3.1502 -1.6787 2.4021
```

Calculated values
crystal system	orthorhombic
E_form	-0.33	eV/atom
total magnetic moment	0.00	μB/f.u.
symmetry	No. 44

=====

# 9
Here is a crystal of AlTcW2 relaxed with PBEsol from Alexandria. Energies are from meta-GGA SCAN.

Structure (extended XYZ):
```
4
Lattice="-1.4490 -1.6506 1.7308 0.2378 -2.7796 -0.1926 6.3652 -1.3019 6.3462" Properties=species:S:1:pos:R:3 pbc="T T T"
W 1.2561 -1.4338 1.9432
W 3.8979 -4.2982 5.9412
Tc 0.0000 0.0000 0.0000
Al 2.5770 -2.8660 3.9422
```

Calculated values
crystal system	trigonal
E_form	0.14	eV/atom
total magnetic moment	0.00	μB/f.u.
symmetry	No. 166

=====

# 10
Here is a crystal of AlTcW2 relaxed with PBEsol from Alexandria. Energies are from meta-GGA SCAN.

Structure (extended XYZ):
```
4
Lattice="-0.4226 2.9110 -1.0235 -2.6183 0.7837 3.3097 4.9799 -0.4954 1.2736" Properties=species:S:1:pos:R:3 pbc="T T T"
Al -0.2113 1.4555 -0.5118
W 1.7867 0.6982 1.2481
W 0.1523 2.5010 2.3116
Tc -1.3091 0.3918 1.6548
```

Calculated values
crystal system	orthorhombic
E_form	-0.22	eV/atom
total magnetic moment	0.00	μB/f.u.
symmetry	No. 71

=====

# 11
Here is a crystal of AlTc2W relaxed with PBEsol from Alexandria. Energies are from meta-GGA SCAN.

Structure (extended XYZ):
```
4
Lattice="2.7510 0.0000 0.0000 0.0000 4.0863 0.0000 0.0000 0.0000 5.1439" Properties=species:S:1:pos:R:3 pbc="T T T"
W 0.0000 0.0000 2.5674
Tc 0.0000 0.0000 5.0985
Tc 1.3755 2.0431 1.2952
Al 1.3755 2.0431 3.8988
```

Calculated values
crystal system	orthorhombic
E_form	-0.13	eV/atom
total magnetic moment	0.00	μB/f.u.
symmetry	No. 25

=====

# 12
Here is a crystal of AlTcW2 relaxed with PBEsol from Alexandria. Energies are from meta-GGA SCAN.

Structure (extended XYZ):
```
4
Lattice="-2.9640 0.7551 -0.6206 0.3217 -1.1177 -2.8962 -1.8062 -5.5078 1.9249" Properties=species:S:1:pos:R:3 pbc="T T T"
Tc -2.6739 -4.3062 -0.3169
Al -0.9148 -2.7895 0.9749
W -1.7748 -1.5646 -1.2750
W -1.7944 -5.4719 1.9123
```

Calculated values
crystal system	tetragonal
E_form	-0.07	eV/atom
total magnetic moment	0.00	μB/f.u.
symmetry	No. 99

=====

Repeat the seventh record exactly.
Here is a crystal of AlTc2W relaxed with PBEsol from Alexandria. Energies are from meta-GGA SCAN.

Structure (extended XYZ):
```
4
Lattice="3.0788 0.0000 0.0000 0.0000 3.0788 0.0000 0.0000 0.0000 6.0550" Properties=species:S:1:pos:R:3 pbc="T T T"
Tc 0.0000 0.0000 1.5180
Tc 0.0000 0.0000 4.5370
W 1.5394 1.5394 0.0000
Al 1.5394 1.5394 3.0275
```

Calculated values
crystal system	tetragonal
E_form	-0.38	eV/atom
total magnetic moment	0.00	μB/f.u.
symmetry	No. 123